1.
# CeYHoCd GGA-PBE relaxed
# Formation energy from the elements: 0.9 kJ/mol of atoms
# Total moment: 6.61 μB per cell
data_CeYHoCd
_cell_length_a 7.715
_cell_length_b 7.715
_cell_length_c 7.715
_cell_angle_alpha 90.00
_cell_angle_beta 90.00
_cell_angle_gamma 90.00
_space_group_name_H-M_alt 'F -4 3 m'
_space_group_IT_number 216
_space_group_name_Hall 'F -4 2 3'
loop_
_atom_site_label
_atom_site_fract_x
_atom_site_fract_y
_atom_site_fract_z
_atom_site_occupancy
Ce1 0.000 0.000 0.000 1
Y1 0.000 0.000 0.500 1
Ho1 0.250 0.250 0.250 1
Cd1 0.250 0.250 0.750 1

---

2.
# LaMg2GaH GGA-PBE relaxed
# DFT total energy: -0.117 Ha/atom
# Total moment: 0.00 μB per cell
data_LaMg2GaH
_cell_length_a 4.599
_cell_length_b 4.599
_cell_length_c 4.710
_cell_angle_alpha 90.00
_cell_angle_beta 90.00
_cell_angle_gamma 90.00
_space_group_name_H-M_alt 'P 4/m m m'
_space_group_IT_number 123
_space_group_name_Hall '-P 4 2'
loop_
_atom_site_label
_atom_site_fract_x
_atom_site_fract_y
_atom_site_fract_z
_atom_site_occupancy
La1 0.000 0.000 0.000 1
Mg1 0.000 0.500 0.500 1
Ga1 0.500 0.500 0.000 1
H1 0.000 0.000 0.500 1